# Ba2Cd5Rh4, relaxed, DFT PBE
data_Ba2Cd5Rh4
_chemical_formula_sum 'Ba8 Cd20 Rh16'
_cell_length_a 6.179
_cell_length_b 10.793
_cell_length_c 16.120
_cell_angle_alpha 90.00
_cell_angle_beta 90.00
_cell_angle_gamma 90.00
_symmetry_space_group_name_H-M 'F m m m'
_symmetry_Int_Tables_number 69
_symmetry_space_group_name_Hall '-F 2 2'
loop_
_atom_site_label
_atom_site_fract_x
_atom_site_fract_y
_atom_site_fract_z
_atom_site_occupancy
Ba1 0.000 0.000 0.149 1
Cd1 0.000 0.000 0.500 1
Cd2 0.250 0.250 0.000 1
Cd3 0.250 0.250 0.250 1
Rh1 0.000 0.125 0.361 1
# Formation enthalpy at 0 K, eV/atom: -0.101
# Crystal system: orthorhombic
# Total DFT energy (no corrections), eV/atom: -3.540
# V, Å³/cell: 1075.08

# NpGeBi, relaxed, DFT PBE
data_NpGeBi
_chemical_formula_sum 'Np1 Ge1 Bi1'
_cell_length_a 5.2886
_cell_length_b 5.2886
_cell_length_c 3.1467
_cell_angle_alpha 90.00
_cell_angle_beta 90.00
_cell_angle_gamma 120.00
_symmetry_space_group_name_H-M 'P -6 m 2'
_symmetry_Int_Tables_number 187
_symmetry_space_group_name_Hall 'P -6 2'
loop_
_atom_site_label
_atom_site_fract_x
_atom_site_fract_y
_atom_site_fract_z
_atom_site_occupancy
Np1 0.0000 0.0000 0.0000 1
Ge1 0.6667 0.3333 0.5000 1
Bi1 0.3333 0.6667 0.5000 1
# Formation enthalpy at 0 K, eV/atom: 0.199
# Crystal system: hexagonal
# Total DFT energy (no corrections), eV/atom: -6.947
# V, Å³/cell: 76.22

# Na2CaTcO6, relaxed, DFT PBE
data_Na2CaTcO6
_chemical_formula_sum 'Na2 Ca1 Tc1 O6'
_cell_length_a 6.4199
_cell_length_b 6.4199
_cell_length_c 5.9469
_cell_angle_alpha 90.00
_cell_angle_beta 90.00
_cell_angle_gamma 120.00
_symmetry_space_group_name_H-M 'P -3 m 1'
_symmetry_Int_Tables_number 164
_symmetry_space_group_name_Hall '-P 3 2"'
loop_
_atom_site_label
_atom_site_fract_x
_atom_site_fract_y
_atom_site_fract_z
_atom_site_occupancy
Na1 0.3333 0.6667 0.3823 1
Ca1 0.0000 0.0000 0.0000 1
Tc1 0.0000 0.0000 0.5000 1
O1 0.1357 0.2714 0.3074 1
# Crystal system: trigonal
# Total DFT energy (no corrections), eV/atom: -5.990
# V, Å³/cell: 212.27

# Pr4Y6Sc, relaxed, DFT PBE
data_Pr4Y6Sc
_chemical_formula_sum 'Pr16 Y24 Sc4'
_cell_length_a 5.750
_cell_length_b 9.720
_cell_length_c 26.043
_cell_angle_alpha 90.00
_cell_angle_beta 90.00
_cell_angle_gamma 90.00
_symmetry_space_group_name_H-M 'C m c m'
_symmetry_Int_Tables_number 63
_symmetry_space_group_name_Hall '-C 2c 2'
loop_
_atom_site_label
_atom_site_fract_x
_atom_site_fract_y
_atom_site_fract_z
_atom_site_occupancy
Pr1 0.000 0.028 0.123 1
Pr2 0.000 0.344 0.047 1
Y1 0.000 0.000 0.000 1
Y2 0.000 0.016 0.250 1
Y3 0.000 0.311 0.611 1
Y4 0.000 0.354 0.185 1
Sc1 0.000 0.318 0.750 1
# Formation enthalpy at 0 K, eV/atom: 0.127
# Crystal system: orthorhombic
# Total DFT energy (no corrections), eV/atom: -5.712
# V, Å³/cell: 1455.65